# 1
DFT (GGA-PBE) results for a relaxed RbSr2Tc crystal.

Its calculated density is 2.7 g/cm3. The calculation puts the energy relative to the lowest polymorph listed for this composition at 0.063 eV per atom.

The space group is I4_1/amd (No. 141, origin choice 2) and the conventional cell measures 8.492, 8.492 and 12.055 Å, with angles of 90.00, 90.00 and 90.00 degrees. The asymmetric unit holds Rb at (0.000, 0.250, 0.375), Sr at (0.000, 0.000, 0.000) and Tc at (0.000, 0.250, 0.875).



# 2
DFT (GGA-PBE) results for a relaxed RbSr2Tc crystal.

Its calculated density is 4.1 g/cm3. The calculation puts the energy relative to the lowest polymorph listed for this composition at 0.000 eV per atom.

The space group is Fm-3m (No. 225) and the conventional cell measures 8.378, 8.378 and 8.378 Å, with angles of 90.00, 90.00 and 90.00 degrees. The asymmetric unit holds Rb at (0.000, 0.000, 0.000), Sr at (0.250, 0.250, 0.250) and Tc at (0.000, 0.000, 0.500).



Q: Which of these has the highest energy relative to the lowest polymorph listed for this composition?
A: number 1